{
  "formula": "PuGaNiO6",
  "functional": "GGA+U",
  "state": "relaxed",
  "magnetic_moment_mub_per_atom": 0.333,
  "crystal_system": "trigonal",
  "energy_ev_per_cell": -130.95,
  "cell": [[-3.039, -1.063, 4.050], [-0.445, -2.750, -4.360], [6.162, -5.880, 3.080]],
  "species": ["O", "O", "O", "O", "O", "O", "O", "O", "O", "O", "O", "O", "Pu", "Pu", "Ga", "Ga", "Ni", "Ni"],
  "fractional_positions": [[0.340, 0.341, 0.870], [0.659, 0.660, 0.630], [0.341, 0.001, 0.130], [0.340, 0.999, 0.630], [0.660, 0.659, 0.130], [0.659, 0.999, 0.870], [0.001, 0.660, 0.870], [0.660, 0.001, 0.370], [0.999, 0.340, 0.130], [0.341, 0.340, 0.370], [0.999, 0.659, 0.370], [0.001, 0.341, 0.630], [0.333, 0.667, 0.250], [0.667, 0.333, 0.750], [0.333, 0.667, 0.750], [0.667, 0.333, 0.250], [0.000, 0.000, 0.000], [0.000, 0.000, 0.500]]
}